LiHoBiAu: optimized geometry, PBE-GGA.

POSCAR file:
```
LiHoBiAu
1.0
0.000 3.606 3.606
3.606 0.000 3.606
3.606 3.606 0.000
Li Ho Bi Au
1 1 1 1
Cartesian
0.000 0.000 0.000 Li
3.606 3.606 3.606 Ho
5.409 5.409 5.409 Bi
1.803 1.803 1.803 Au
```

DFT total energy, Ry/atom: -0.29811
Crystal system: cubic